Ti2RhAu6: relaxed, PBE-GGA.

Lattice parameters (Å, degrees): 6.6898 6.6898 6.6421 109.58 109.58 33.32
Atoms (fractional coordinates):
Ti: 0.0545 0.0545 0.3052
Ti: 0.9455 0.9455 0.6948
Rh: 0.5000 0.5000 0.0000
Au: 0.1611 0.1611 0.9971
Au: 0.2813 0.2813 0.6641
Au: 0.3972 0.3972 0.3419
Au: 0.6028 0.6028 0.6581
Au: 0.7187 0.7187 0.3359
Au: 0.8389 0.8389 0.0029

As for the crystal system: monoclinic. The symmetry is C2/m (12). The total moment is 0.0 μB per formula unit. The density of states at the Fermi level is 4.36 states/eV/cell. As for the volume: 153.0 Å³ per cell. As for the formation energy: -0.311 eV per atom.

Ti2RhAu: relaxed, PBE-GGA.

Lattice parameters (Å, degrees): 4.0202 4.0202 3.9142 90.00 90.00 90.00
Atoms (fractional coordinates):
Ti: 0.0000 0.5000 0.0000
Ti: 0.5000 0.0000 0.0000
Rh: 0.0000 0.0000 0.5000
Au: 0.5000 0.5000 0.5000

As for the crystal system: tetragonal. The symmetry is P4/mmm (123). The total moment is 0.8 μB per formula unit. The density of states at the Fermi level is 3.98 states/eV/cell. As for the volume: 63.3 Å³ per cell. As for the formation energy: -0.519 eV per atom.

TiRh2Au: relaxed, PBE-GGA.

Lattice parameters (Å, degrees): 9.3233 9.3233 9.3233 155.90 155.90 34.35
Atoms (fractional coordinates):
Ti: 0.0000 0.0000 0.0000
Ti: 0.7500 0.2500 0.5000
Rh: 0.1118 0.6250 0.9868
Rh: 0.3750 0.3618 0.4868
Rh: 0.6382 0.1250 0.0132
Rh: 0.8750 0.8882 0.5132
Au: 0.2500 0.7500 0.5000
Au: 0.5000 0.5000 0.0000

As for the crystal system: tetragonal. The symmetry is I-42d (122). The total moment is 0.0 μB per formula unit. The density of states at the Fermi level is 9.30 states/eV/cell. As for the volume: 135.0 Å³ per cell. As for the formation energy: -0.007 eV per atom.

Ti2Rh2Au: relaxed, PBE-GGA.

Lattice parameters (Å, degrees): 7.4582 7.4582 2.9001 90.00 90.00 90.00
Atoms (fractional coordinates):
Ti: 0.1501 0.3499 0.0000
Ti: 0.3499 0.8499 0.0000
Ti: 0.6501 0.1501 0.0000
Ti: 0.8499 0.6501 0.0000
Rh: 0.1425 0.6425 0.5000
Rh: 0.3575 0.1425 0.5000
Rh: 0.6425 0.8575 0.5000
Rh: 0.8575 0.3575 0.5000
Au: 0.0000 0.0000 0.0000
Au: 0.5000 0.5000 0.0000

As for the crystal system: tetragonal. As for the excess energy over the best structure of this formula in the dataset: 0.139 eV/atom. The symmetry is P4/mbm (127). The total moment is 0.0 μB per formula unit. The density of states at the Fermi level is 8.74 states/eV/cell. As for the volume: 161.3 Å³ per cell. As for the formation energy: -0.489 eV per atom.

Question: total moment of number 3 (TiRh2Au)?
Answer: 0.0 μB per formula unit

Copy entry 2 word for word.
Ti2RhAu: relaxed, PBE-GGA.

Lattice parameters (Å, degrees): 4.0202 4.0202 3.9142 90.00 90.00 90.00
Atoms (fractional coordinates):
Ti: 0.0000 0.5000 0.0000
Ti: 0.5000 0.0000 0.0000
Rh: 0.0000 0.0000 0.5000
Au: 0.5000 0.5000 0.5000

As for the crystal system: tetragonal. The symmetry is P4/mmm (123). The total moment is 0.8 μB per formula unit. The density of states at the Fermi level is 3.98 states/eV/cell. As for the volume: 63.3 Å³ per cell. As for the formation energy: -0.519 eV per atom.